Entry 1:
# Nb2CrIr2 PBE relaxed
# E_form in eV per atom: -0.01
# Electronic total energy in eV/atom: -9.512
# Crystal system: tetragonal
# N(E_F) in states/eV/cell: 12.6
data_Nb2CrIr2
_cell_length_a 7.4757
_cell_length_b 7.4757
_cell_length_c 2.9784
_cell_angle_alpha 90.00
_cell_angle_beta 90.00
_cell_angle_gamma 90.00
_symmetry_space_group_name_H-M 'P 4/m b m'
_symmetry_Int_Tables_number 127
_symmetry_space_group_name_Hall '-P 4 2ab'
loop_
_atom_site_label
_atom_site_type_symbol
_atom_site_fract_x
_atom_site_fract_y
_atom_site_fract_z
Nb1 Nb 0.1689 0.3311 0.0000
Cr1 Cr 0.0000 0.0000 0.5000
Ir1 Ir 0.1319 0.6319 0.5000

---

Entry 2:
# Nb2CrIr9 PBE relaxed
# E_form in eV per atom: -0.45
# Electronic total energy in eV/atom: -9.575
# Crystal system: tetragonal
# N(E_F) in states/eV/cell: 8.4
data_Nb2CrIr9
_cell_length_a 3.8982
_cell_length_b 3.8982
_cell_length_c 11.6855
_cell_angle_alpha 90.00
_cell_angle_beta 90.00
_cell_angle_gamma 90.00
_symmetry_space_group_name_H-M 'P 4/m m m'
_symmetry_Int_Tables_number 123
_symmetry_space_group_name_Hall '-P 4 2'
loop_
_atom_site_label
_atom_site_type_symbol
_atom_site_fract_x
_atom_site_fract_y
_atom_site_fract_z
Nb1 Nb 0.0000 0.0000 0.1698
Cr1 Cr 0.0000 0.0000 0.5000
Ir1 Ir 0.0000 0.5000 0.0000
Ir2 Ir 0.0000 0.5000 0.3388
Ir3 Ir 0.5000 0.5000 0.1687
Ir4 Ir 0.5000 0.5000 0.5000

---

Entry 3:
# Nb3CrIr PBE relaxed
# E_form in eV per atom: 0.89
# Electronic total energy in eV/atom: -8.847
# Crystal system: cubic
# N(E_F) in states/eV/cell: 6.7
data_Nb3CrIr
_cell_length_a 4.5183
_cell_length_b 4.5183
_cell_length_c 4.5183
_cell_angle_alpha 90.00
_cell_angle_beta 90.00
_cell_angle_gamma 90.00
_symmetry_space_group_name_H-M 'P m -3 m'
_symmetry_Int_Tables_number 221
_symmetry_space_group_name_Hall '-P 4 2 3'
loop_
_atom_site_label
_atom_site_type_symbol
_atom_site_fract_x
_atom_site_fract_y
_atom_site_fract_z
Nb1 Nb 0.0000 0.0000 0.5000
Cr1 Cr 0.0000 0.0000 0.0000
Ir1 Ir 0.5000 0.5000 0.5000